VASP calculation (PBE-GGA) on Si2Mo2Au after structural relaxation.

Output
Raw formation energy, eV/f.u.: -0.43
Total magnetization, μB/atom: 0.000

Cell and atoms, written as POSCAR:
```
Si2Mo2Au
1.0
6.6824 0.0000 0.0000
0.0000 6.6824 0.0000
0.0000 0.0000 3.3520
Si Mo Au
4 4 2
Cartesian
0.8746 2.4666 0.0000
2.4666 5.8078 0.0000
4.2158 0.8746 0.0000
5.8078 4.2158 0.0000
1.0889 4.4301 1.6760
2.2523 1.0889 1.6760
4.4301 5.5935 1.6760
5.5935 2.2523 1.6760
0.0000 0.0000 0.0000
3.3412 3.3412 0.0000
```

---

VASP calculation (PBE-GGA) on KCaAu2 after structural relaxation.

Output
Energy of formation from the pure elements, eV/atom: -0.560
Total magnetization, μB/atom: 0.000

Cell and atoms, written as POSCAR:
```
KCaAu2
1.0
3.7751 0.0000 0.0000
0.0000 3.7751 0.0000
0.0000 0.0000 7.9113
K Ca Au
1 1 2
Cartesian
0.0000 0.0000 0.0000
0.0000 0.0000 3.9557
1.8876 1.8876 2.4028
1.8876 1.8876 5.5085
```

---

VASP calculation (PBE-GGA) on SmDy2Er6 after structural relaxation.

Output
Energy of formation from the pure elements, eV/atom: 0.392
Relative energy among the computed polymorphs, meV/atom: 318
Total magnetization, μB/atom: 0.000

Cell and atoms, written as POSCAR:
```
SmDy2Er6
1.0
3.4452 1.9891 7.5960
-3.4452 1.9891 7.5960
0.0000 -3.9781 7.5960
Sm Dy Er
1 2 6
Cartesian
0.0000 0.0000 0.0000
0.0000 0.0000 13.3988
0.0000 0.0000 17.1587
0.0000 -2.0246 5.0896
-1.7533 1.0123 5.0896
0.0000 -1.9583 10.1335
-1.6959 0.9792 10.1335
1.7533 1.0123 5.0896
1.6959 0.9792 10.1335
```

---

VASP calculation (PBE-GGA) on BaZrNi2 after structural relaxation.

Output
Energy of formation from the pure elements, eV/atom: 0.498
Relative energy among the computed polymorphs, meV/atom: 587
Total magnetization, μB/atom: 0.000

Cell and atoms, written as POSCAR:
```
BaZrNi2
1.0
4.0229 0.0000 0.0000
0.0000 4.0229 0.0000
0.0000 0.0000 10.0068
Ba Zr Ni
2 2 4
Cartesian
0.0000 0.0000 0.0000
2.0115 2.0115 5.0034
0.0000 2.0115 2.5017
2.0115 0.0000 7.5051
0.0000 0.0000 5.0034
0.0000 2.0115 7.5051
2.0115 0.0000 2.5017
2.0115 2.0115 0.0000
```

---

VASP calculation (PBE-GGA) on SrP2OsRh after structural relaxation.

Output
Energy of formation from the pure elements, eV/atom: -0.838
Total magnetization, μB/atom: 0.000

Cell and atoms, written as POSCAR:
```
SrP2OsRh
1.0
4.0120 0.0000 0.0000
0.0000 4.0120 0.0000
0.0000 0.0000 11.7477
Sr P Os Rh
2 4 2 2
Cartesian
0.0000 0.0000 0.0000
2.0060 2.0060 5.8739
0.0000 0.0000 4.1669
0.0000 0.0000 7.5809
2.0060 2.0060 1.7070
2.0060 2.0060 10.0407
0.0000 2.0060 2.9369
2.0060 0.0000 8.8108
0.0000 2.0060 8.8108
2.0060 0.0000 2.9369
```

---

VASP calculation (PBE-GGA) on CuGe2I after structural relaxation.

Output
Raw formation energy, eV/f.u.: 2.89
Relative energy among the computed polymorphs, meV/atom: 388
Total magnetization, μB/atom: 0.000

Cell and atoms, written as POSCAR:
```
CuGe2I
1.0
7.0419 0.0000 0.0000
0.0000 7.0419 0.0000
0.0000 0.0000 7.0419
Cu Ge I
4 8 4
Cartesian
0.0000 0.0000 0.0000
0.0000 3.5209 3.5209
3.5209 0.0000 3.5209
3.5209 3.5209 0.0000
1.7605 1.7605 1.7605
1.7605 1.7605 5.2814
1.7605 5.2814 1.7605
1.7605 5.2814 5.2814
5.2814 1.7605 1.7605
5.2814 1.7605 5.2814
5.2814 5.2814 1.7605
5.2814 5.2814 5.2814
0.0000 0.0000 3.5209
0.0000 3.5209 0.0000
3.5209 0.0000 0.0000
3.5209 3.5209 3.5209
```

---

Computed DOS at the Fermi energy, in the same sequence as the records: 7.2; 1.1; 14.6; 6.4; 3.7; 9.8 states/eV per cell.